A geometry-optimized Al2NiRh structure, computed with PBE.

a b c (Å): 4.228 4.227 2.906
angles (deg): 90.00 90.00 90.00
Atoms (fractional coordinates):
1 Ni 0.500 0.000 0.500
2 Rh 0.000 0.500 0.500
3 Al 0.000 0.000 0.000
4 Al 0.500 0.500 0.000

Summary:
formation enthalpy at 0 K = -0.83 eV per atom
energy = -0.22008 Ha/atom
V = 12.98 A^3/atom